(1)
Compound: Ca2Nd3Sm2
Source: Alexandria via LeMat-Bulk
Functional: PBE
Structure: optimized geometry

Properties
- N(E_F) (states/eV/cell) = 9.7
- calculated volume (Å³/atom) = 36.23
- crystal system = monoclinic
- size of the total moment (μB per formula unit) = 0.00
- calculated formation energy (eV per atom) = 0.06

POSCAR file:
```
Ca2Nd3Sm2
1.0
-4.715 1.806 1.324
-4.249 -4.581 1.404
-1.514 -3.168 9.215
Ca Nd Sm
2 3 2
Cartesian
-2.145 -2.210 5.664
-8.334 -3.734 6.279
-4.874 -3.422 7.887
0.000 0.000 0.000
-5.605 -2.522 4.056
-7.661 -4.661 9.942
-2.818 -1.282 2.001
```


(2)
Compound: H2SI
Source: Alexandria via LeMat-Bulk
Functional: PBE
Structure: optimized geometry

Properties
- N(E_F) (states/eV/cell) = 1.7
- calculated volume (Å³/atom) = 18.23
- crystal system = trigonal
- size of the total moment (μB per formula unit) = 0.00
- distance to the lowest polymorph of the same formula (meV per atom) = 660

POSCAR file:
```
H2SI
1.0
3.186 0.000 0.000
1.593 2.759 0.000
1.593 0.920 8.294
H S I
2 1 1
Cartesian
1.593 0.920 3.677
4.779 2.759 4.617
3.186 1.839 4.147
0.000 0.000 0.000
```


(3)
Compound: Eu2AlHg
Source: Alexandria via LeMat-Bulk
Functional: PBE
Structure: optimized geometry

Properties
- N(E_F) (states/eV/cell) = 12.0
- calculated volume (Å³/atom) = 28.38
- crystal system = tetragonal
- size of the total moment (μB per formula unit) = 14.04
- distance to the lowest polymorph of the same formula (meV per atom) = 0
- calculated formation energy (eV per atom) = -0.38

POSCAR file:
```
Eu2AlHg
1.0
-2.332 2.853 -1.007
-2.494 -2.533 -1.399
-3.487 -0.400 6.943
Hg Eu Al
1 2 1
Cartesian
-4.157 -0.040 2.269
-2.642 -0.303 5.261
-0.845 -0.097 1.682
-2.413 0.160 -1.203
```


(4)
Compound: NpCuTeS
Source: Alexandria via LeMat-Bulk
Functional: PBE
Structure: optimized geometry

Properties
- N(E_F) (states/eV/cell) = 17.0
- calculated volume (Å³/atom) = 22.03
- energy relative to the elements, uncorrected (eV per atom) = -0.645
- crystal system = tetragonal
- size of the total moment (μB per formula unit) = 3.99

POSCAR file:
```
NpCuTeS
1.0
-2.437 1.297 -3.470
-3.278 -2.689 1.298
-3.486 6.629 4.926
Te Np S Cu
2 2 2 2
Cartesian
-2.792 0.848 2.279
-3.551 5.085 1.562
-1.817 1.786 -0.890
-4.527 4.148 4.730
0.000 0.000 0.000
-2.858 -0.696 -1.086
-4.601 2.619 1.377
-1.743 3.315 2.463
```


(5)
Compound: NaMnTl2
Source: Alexandria via LeMat-Bulk
Functional: PBE
Structure: optimized geometry

Properties
- N(E_F) (states/eV/cell) = 6.2
- calculated volume (Å³/atom) = 27.48
- crystal system = tetragonal
- size of the total moment (μB per formula unit) = 3.96
- calculated formation energy (eV per atom) = 0.45

POSCAR file:
```
NaMnTl2
1.0
-1.326 -3.999 2.057
3.700 -2.189 -1.870
6.638 -0.760 8.147
Na Tl Mn
2 4 2
Cartesian
5.763 -3.021 3.185
1.187 -3.094 0.093
3.838 -1.962 1.076
1.261 -3.059 3.138
7.145 -6.037 6.229
5.780 -2.838 6.225
3.249 -3.927 5.149
0.000 0.000 0.000
```


(6)
Compound: K2BaZrO4
Source: Alexandria via LeMat-Bulk
Functional: PBE
Structure: optimized geometry

Properties
- N(E_F) (states/eV/cell) = 0.0
- calculated volume (Å³/atom) = 17.85
- energy relative to the elements, uncorrected (eV per atom) = -2.359
- crystal system = orthorhombic
- size of the total moment (μB per formula unit) = 0.00

POSCAR file:
```
K2BaZrO4
1.0
-6.200 1.301 -3.944
3.537 -2.938 -5.877
-0.325 -3.758 6.604
O Zr K Ba
8 2 4 2
Cartesian
-0.660 -0.643 -2.069
-0.784 -2.076 0.450
-2.203 -3.319 -3.668
0.416 -3.495 -1.968
1.334 -5.844 1.119
-3.403 -1.901 -1.249
-2.327 -4.753 -1.149
-4.321 0.448 -4.337
-2.987 -5.395 -3.218
-1.494 -2.698 -1.609
0.113 -6.046 -1.246
-1.331 -0.819 -4.911
-6.363 -0.578 -0.642
-3.262 -1.229 1.330
1.769 -1.469 -2.939
-4.594 -2.047 -3.581
```